--- i ---
Material: Ca2ReRu
Method: DFT, PBE-GGA
State: relaxed

Cell lengths 5.388, 9.553, 3.009 Å; angles 90.00, 92.17, 90.00 degrees
Space group C2/m (No. 12)
One atom of each set of equivalent atoms:
Ca1 0.250 0.250 0.000 [4 per cell]
Re1 0.000 0.000 0.500 [2 per cell]
Ru1 0.000 0.500 0.500 [2 per cell]

The volume comes out at 19.34 A^3/atom.

--- ii ---
Material: Ca2ReRu
Method: DFT, PBE-GGA
State: relaxed

Cell lengths 3.0294, 3.0294, 29.0534 Å; angles 90.00, 90.00, 120.00 degrees
Space group R-3m (No. 166, hexagonal axes)
One atom of each set of equivalent atoms:
Ca1 0.0000 0.0000 0.2452 [6 per cell]
Re1 0.0000 0.0000 0.0000 [3 per cell]
Ru1 0.0000 0.0000 0.5000 [3 per cell]

The volume comes out at 19.24 A^3/atom.

Quick ranking, most stable first: i, ii.

--- i ---
Material: CaRe2Ru
Method: DFT, PBE-GGA
State: relaxed

Cell lengths 4.829, 4.829, 2.830 Å; angles 90.00, 90.00, 90.00 degrees
Space group P4/mmm (No. 123)
One atom of each set of equivalent atoms:
Ca1 0.000 0.000 0.000 [1 per cell]
Re1 0.000 0.500 0.500 [2 per cell]
Ru1 0.500 0.500 0.000 [1 per cell]

The volume comes out at 16.50 A^3/atom.

--- ii ---
Material: CaRe2Ru
Method: DFT, PBE-GGA
State: relaxed

Cell lengths 3.049, 4.873, 9.353 Å; angles 90.00, 90.00, 90.00 degrees
Space group Imm2 (No. 44)
One atom of each set of equivalent atoms:
Ca1 0.000 0.000 0.000 [2 per cell]
Re1 0.000 0.000 0.498 [2 per cell]
Re2 0.000 0.500 0.786 [2 per cell]
Ru1 0.000 0.500 0.223 [2 per cell]

The volume comes out at 17.37 A^3/atom.

--- iii ---
Material: CaRe2Ru
Method: DFT, PBE-GGA
State: relaxed

Cell lengths 2.763, 2.763, 8.874 Å; angles 90.00, 90.00, 90.00 degrees
Space group P4/mmm (No. 123)
One atom of each set of equivalent atoms:
Ca1 0.000 0.000 0.000 [1 per cell]
Re1 0.500 0.500 0.288 [2 per cell]
Ru1 0.000 0.000 0.500 [1 per cell]

The volume comes out at 16.94 A^3/atom.

Quick ranking, most stable first: iii, ii, i.

--- i ---
Material: CaRe2Ru
Method: DFT, PBE-GGA
State: relaxed

Cell lengths 5.364, 9.379, 2.731 Å; angles 90.00, 107.59, 90.00 degrees
Space group C2/m (No. 12)
One atom of each set of equivalent atoms:
Ca1 0.000 0.000 0.000 [2 per cell]
Re1 0.250 0.250 0.500 [4 per cell]
Ru1 0.000 0.500 0.000 [2 per cell]

The volume comes out at 16.37 A^3/atom.

--- ii ---
Material: CaRe2Ru
Method: DFT, PBE-GGA
State: relaxed

Cell lengths 3.105, 4.412, 4.798 Å; angles 90.00, 90.00, 90.00 degrees
Space group Pmmm (No. 47)
One atom of each set of equivalent atoms:
Ca1 0.000 0.000 0.000 [1 per cell]
Re1 0.000 0.500 0.500 [1 per cell]
Re2 0.500 0.000 0.500 [1 per cell]
Ru1 0.500 0.500 0.000 [1 per cell]

The volume comes out at 16.43 A^3/atom.

Quick ranking, most stable first: ii, i.

--- i ---
Material: CaRe2Ru
Method: DFT, PBE-GGA
State: relaxed

Cell lengths 2.8595, 2.8595, 28.3055 Å; angles 90.00, 90.00, 120.00 degrees
Space group R3m (No. 160, hexagonal axes)
One atom of each set of equivalent atoms:
Ca1 0.0000 0.0000 0.0000 [3 per cell]
Re1 0.0000 0.0000 0.2396 [3 per cell]
Re2 0.0000 0.0000 0.4976 [3 per cell]
Ru1 0.0000 0.0000 0.7563 [3 per cell]

The volume comes out at 16.70 A^3/atom.

--- ii ---
Material: CaRe2Ru
Method: DFT, PBE-GGA
State: relaxed

Cell lengths 9.467, 3.018, 5.367 Å; angles 90.00, 105.87, 90.00 degrees
Space group Cm (No. 8)
One atom of each set of equivalent atoms:
Ca1 0.000 0.000 0.000 [2 per cell]
Re1 0.004 0.500 0.501 [2 per cell]
Re2 0.288 0.500 0.349 [2 per cell]
Ru1 0.225 0.000 0.705 [2 per cell]

The volume comes out at 18.44 A^3/atom.

Quick ranking, most stable first: ii, i.

--- i ---
Material: CaRe2Ru
Method: DFT, PBE-GGA
State: relaxed

Cell lengths 2.771, 3.775, 7.005 Å; angles 90.00, 90.00, 90.00 degrees
Space group Pmmm (No. 47)
One atom of each set of equivalent atoms:
Ca1 0.000 0.000 0.000 [1 per cell]
Re1 0.500 0.500 0.317 [2 per cell]
Ru1 0.000 0.000 0.500 [1 per cell]

The volume comes out at 18.32 A^3/atom.

--- ii ---
Material: CaRe2Ru
Method: DFT, PBE-GGA
State: relaxed

Cell lengths 2.827, 4.146, 6.216 Å; angles 90.00, 101.54, 90.00 degrees
Space group Pm (No. 6)
One atom of each set of equivalent atoms:
Ca1 0.000 0.000 0.000 [1 per cell]
Re1 0.594 0.500 0.300 [1 per cell]
Re2 0.912 0.000 0.504 [1 per cell]
Ru1 0.398 0.500 0.696 [1 per cell]

The volume comes out at 17.84 A^3/atom.

--- iii ---
Material: CaRe2Ru
Method: DFT, PBE-GGA
State: relaxed

Cell lengths 3.123, 3.123, 7.153 Å; angles 90.00, 90.00, 90.00 degrees
Space group P4mm (No. 99)
One atom of each set of equivalent atoms:
Ca1 0.000 0.000 0.000 [1 per cell]
Re1 0.000 0.000 0.500 [1 per cell]
Re2 0.500 0.500 0.304 [1 per cell]
Ru1 0.500 0.500 0.719 [1 per cell]

The volume comes out at 17.44 A^3/atom.

--- iv ---
Material: CaRe2Ru
Method: DFT, PBE-GGA
State: relaxed

Cell lengths 6.376, 6.376, 6.376 Å; angles 90.00, 90.00, 90.00 degrees
Space group F-43m (No. 216)
One atom of each set of equivalent atoms:
Ca1 0.000 0.000 0.000 [4 per cell]
Re1 0.000 0.000 0.500 [4 per cell]
Re2 0.250 0.250 0.250 [4 per cell]
Ru1 0.250 0.250 0.750 [4 per cell]

The volume comes out at 16.20 A^3/atom.

Quick ranking, most stable first: iii, iv, ii, i.

--- i ---
Material: CaReS2
Method: DFT, PBE-GGA
State: relaxed

Cell lengths 3.6145, 3.6145, 24.1903 Å; angles 90.00, 90.00, 120.00 degrees
Space group R-3m (No. 166, hexagonal axes)
One atom of each set of equivalent atoms:
Ca1 0.0000 0.0000 0.0000 [3 per cell]
Re1 0.0000 0.0000 0.5000 [3 per cell]
S1 0.0000 0.0000 0.1138 [6 per cell]

The volume comes out at 22.81 A^3/atom.

--- ii ---
Material: CaReS2
Method: DFT, PBE-GGA
State: relaxed

Cell lengths 6.378, 6.378, 6.378 Å; angles 90.00, 90.00, 90.00 degrees
Space group Fm-3m (No. 225)
One atom of each set of equivalent atoms:
Ca1 0.000 0.000 0.000 [4 per cell]
Re1 0.000 0.000 0.500 [4 per cell]
S1 0.250 0.250 0.250 [8 per cell]

The volume comes out at 16.21 A^3/atom.

Quick ranking, most stable first: ii, i.

--- i ---
Material: CaRe3S
Method: DFT, PBE-GGA
State: relaxed

Cell lengths 4.675, 4.675, 4.675 Å; angles 90.00, 90.00, 90.00 degrees
Space group Pm-3m (No. 221)
One atom of each set of equivalent atoms:
Ca1 0.000 0.000 0.000 [1 per cell]
Re1 0.000 0.000 0.500 [3 per cell]
S1 0.500 0.500 0.500 [1 per cell]

The volume comes out at 20.44 A^3/atom.

--- ii ---
Material: CaRe3S
Method: DFT, PBE-GGA
State: relaxed

Cell lengths 4.468, 4.468, 4.468 Å; angles 90.00, 90.00, 90.00 degrees
Space group Pm-3m (No. 221)
One atom of each set of equivalent atoms:
Ca1 0.000 0.000 0.000 [1 per cell]
Re1 0.000 0.500 0.500 [3 per cell]
S1 0.500 0.500 0.500 [1 per cell]

The volume comes out at 17.83 A^3/atom.

Quick ranking, most stable first: ii, i.

--- i ---
Material: CaRe2S
Method: DFT, PBE-GGA
State: relaxed

Cell lengths 3.680, 3.680, 22.543 Å; angles 90.00, 90.00, 90.00 degrees
Space group I-42d (No. 122)
One atom of each set of equivalent atoms:
Ca1 0.000 0.000 0.000 [4 per cell]
Re1 0.232 0.250 0.625 [8 per cell]
S1 0.000 0.000 0.500 [4 per cell]

The volume comes out at 19.08 A^3/atom.

--- ii ---
Material: CaRe2S
Method: DFT, PBE-GGA
State: relaxed

Cell lengths 6.343, 6.343, 6.343 Å; angles 90.00, 90.00, 90.00 degrees
Space group Fm-3m (No. 225)
One atom of each set of equivalent atoms:
Ca1 0.000 0.000 0.000 [4 per cell]
Re1 0.250 0.250 0.250 [8 per cell]
S1 0.000 0.000 0.500 [4 per cell]

The volume comes out at 15.95 A^3/atom.

Quick ranking, most stable first: i, ii.